# 1
Here is ZnHgAs after structural relaxation from Alexandria. Energies are from PBE.

Unit cell a=4.5136 b=4.5136 c=4.5136 alpha=60.00 beta=60.00 gamma=60.00
Last column: nearest neighbours and their distance in Å.
Fractional coordinates of all 3 atoms:
Zn  0.0000  0.0000  0.0000  4 Hg 2.76, 4 As 2.76
Hg  0.7500  0.7500  0.7500  4 Zn 2.76
As  0.2500  0.2500  0.2500  4 Zn 2.76

## Properties
ΔE to the lowest computed polymorph ... 2.81 kcal/mol of atoms
Space group ... No. 216
Electronic total energy ... -5.76 eV per cell
Magnetic moment ... 0.000 μB per atom

=====

# 2
Here is Pa2AlFe2Co5 after structural relaxation from Alexandria. Energies are from PBE.

Unit cell a=8.5476 b=8.5476 c=3.8300 alpha=90.00 beta=90.00 gamma=90.00
Last column: nearest neighbours and their distance in Å.
Fractional coordinates of all 20 atoms:
Pa  0.1628  0.3372  0.0000  1 Fe 2.34
Pa  0.3372  0.8372  0.0000  1 Fe 2.34
Pa  0.6628  0.1628  0.0000  1 Fe 2.34
Pa  0.8372  0.6628  0.0000  1 Fe 2.34
Al  0.0000  0.0000  0.0000  8 Co 2.61
Al  0.5000  0.5000  0.0000  8 Co 2.61
Fe  0.1438  0.6438  0.0000  1 Pa 2.34, 6 Co 2.44-2.59
Fe  0.3562  0.1438  0.0000  1 Pa 2.34, 6 Co 2.44-2.59
Fe  0.6438  0.8562  0.0000  1 Pa 2.34, 6 Co 2.44-2.59
Fe  0.8562  0.3562  0.0000  1 Pa 2.34, 6 Co 2.44-2.59
Co  0.0000  0.5000  0.5000  4 Fe 2.59, 4 Co 2.69, 4 Pa 2.75
Co  0.0747  0.8061  0.5000  2 Fe 2.44, 3 Co 2.51-2.69, 2 Al 2.61
Co  0.1939  0.0747  0.5000  2 Fe 2.44, 3 Co 2.51-2.69, 2 Al 2.61
Co  0.3061  0.5747  0.5000  2 Fe 2.44, 3 Co 2.51-2.69, 2 Al 2.61
Co  0.4253  0.3061  0.5000  2 Fe 2.44, 3 Co 2.51-2.69, 2 Al 2.61
Co  0.5000  0.0000  0.5000  4 Fe 2.59, 4 Co 2.69, 4 Pa 2.75
Co  0.5747  0.6939  0.5000  2 Fe 2.44, 3 Co 2.51-2.69, 2 Al 2.61
Co  0.6939  0.4253  0.5000  2 Fe 2.44, 3 Co 2.51-2.69, 2 Al 2.61
Co  0.8061  0.9253  0.5000  2 Fe 2.44, 3 Co 2.51-2.69, 2 Al 2.61
Co  0.9253  0.1939  0.5000  2 Fe 2.44, 3 Co 2.51-2.69, 2 Al 2.61

## Properties
Space group ... No. 127
Electronic total energy ... -155.13 eV per cell
Magnetic moment ... 0.523 μB per atom

=====

# 3
Here is BaCrRe2 after structural relaxation from Alexandria. Energies are from PBE.

Unit cell a=6.0051 b=6.0051 c=6.0051 alpha=149.02 beta=125.60 gamma=63.93
Last column: nearest neighbours and their distance in Å.
Fractional coordinates of all 4 atoms:
Ba  0.0000  0.0000  0.0000  8 Re 3.19-3.46, 2 Ba 3.21, 4 Cr 3.42-3.44
Cr  0.2960  0.7960  0.5000  2 Re 2.88, 2 Cr 3.21
Re  0.5313  0.5313  0.0000  2 Re 2.40
Re  0.7071  0.2071  0.5000  2 Re 2.40

## Properties
ΔE to the lowest computed polymorph ... 10.40 kcal/mol of atoms
Space group ... No. 44
Electronic total energy ... -31.49 eV per cell
Magnetic moment ... 0.711 μB per atom

=====

# 4
Here is Tb2GeI3 after structural relaxation from Alexandria. Energies are from PBE.

Unit cell a=10.6536 b=10.6536 c=14.4944 alpha=129.15 beta=129.15 gamma=22.66
Last column: nearest neighbours and their distance in Å.
Fractional coordinates of all 12 atoms:
Tb  0.1028  0.1028  0.2354  2 Ge 2.88-2.92, 4 I 3.06-3.17
Tb  0.3734  0.3734  0.0532  2 Ge 2.88, 4 I 3.14-3.19
Tb  0.6266  0.6266  0.9468  2 Ge 2.88, 4 I 3.14-3.19
Tb  0.8972  0.8972  0.7646  2 Ge 2.88-2.92, 4 I 3.06-3.17
Ge  0.0603  0.0603  0.0001  1 Ge 2.52
Ge  0.9397  0.9397  0.9999  1 Ge 2.52
I  0.1790  0.1790  0.8394  3 Tb 3.14-3.19
I  0.2578  0.2578  0.6481  2 Tb 3.06
I  0.4613  0.4613  0.6762  3 Tb 3.14-3.17
I  0.5387  0.5387  0.3238  3 Tb 3.14-3.17
I  0.7422  0.7422  0.3519  2 Tb 3.06
I  0.8210  0.8210  0.1606  3 Tb 3.14-3.19

## Properties
ΔE_f (raw) ... -1.05 eV per atom
Space group ... No. 12
Electronic total energy ... -49.64 eV per cell
Magnetic moment ... 0.000 μB per atom

=====

# 5
Here is Ca2PmHg4Pb after structural relaxation from Alexandria. Energies are from PBE.

Unit cell a=9.4199 b=9.4199 c=9.4199 alpha=32.88 beta=32.88 gamma=32.88
Last column: nearest neighbours and their distance in Å.
Fractional coordinates of all 8 atoms:
Ca  0.2429  0.2429  0.2429  8 Hg 3.17-3.45
Ca  0.7571  0.7571  0.7571  8 Hg 3.17-3.45
Pm  0.0000  0.0000  0.0000  8 Hg 3.17-3.19
Hg  0.1189  0.1189  0.1189  4 Ca 3.17-3.31, 1 Pm 3.17, 3 Pb 3.33
Hg  0.3652  0.3652  0.3652  3 Pm 3.19, 4 Ca 3.27-3.45, 3 Hg 3.52
Hg  0.6348  0.6348  0.6348  3 Pm 3.19, 4 Ca 3.27-3.45, 3 Hg 3.52
Hg  0.8811  0.8811  0.8811  4 Ca 3.17-3.31, 1 Pm 3.17, 3 Pb 3.33
Pb  0.5000  0.5000  0.5000  8 Hg 3.33-3.60, 6 Ca 3.69

## Properties
Space group ... No. 166
Electronic total energy ... -17.26 eV per cell
Magnetic moment ... 0.000 μB per atom

=====

# 6
Here is Er2Al4Pd3Pt after structural relaxation from Alexandria. Energies are from PBE.

Unit cell a=4.0987 b=4.0987 c=10.9220 alpha=90.00 beta=90.00 gamma=90.00
Last column: nearest neighbours and their distance in Å.
Fractional coordinates of all 10 atoms:
Er  0.0000  0.5000  0.2463  6 Pd 3.12-3.45, 8 Al 3.19-3.38, 2 Pt 3.45
Er  0.5000  0.0000  0.7537  6 Pd 3.12-3.45, 8 Al 3.19-3.38, 2 Pt 3.45
Al  0.0000  0.0000  0.0000  4 Pd 2.56
Al  0.0000  0.5000  0.6321  3 Pd 2.49-2.51, 2 Pt 2.51
Al  0.5000  0.0000  0.3679  3 Pd 2.49-2.51, 2 Pt 2.51
Al  0.5000  0.5000  0.0000  4 Pd 2.56
Pd  0.0000  0.5000  0.8598  5 Al 2.49-2.56
Pd  0.5000  0.0000  0.1402  5 Al 2.49-2.56
Pd  0.5000  0.5000  0.5000  4 Al 2.51
Pt  0.0000  0.0000  0.5000  4 Al 2.51

## Properties
Space group ... No. 115
Electronic total energy ... -54.82 eV per cell
Magnetic moment ... 0.000 μB per atom